{
  "formula": "Pu2Be16Si",
  "functional": "GGA-PBE",
  "state": "relaxed",
  "lattice": [[3.885, 2.243, 3.772], [-3.885, 2.243, 3.772], [0.000, -4.486, 3.772]],
  "species": ["Pu", "Pu", "Be", "Be", "Be", "Be", "Be", "Be", "Be", "Be", "Be", "Be", "Be", "Be", "Be", "Be", "Be", "Be", "Si"],
  "frac_coords": [[0.000, 0.000, 0.000], [0.318, 0.318, 0.318], [0.000, 0.000, 0.500], [0.000, 0.500, 0.000], [0.165, 0.655, 0.655], [0.320, 0.320, 0.813], [0.320, 0.813, 0.320], [0.371, 0.657, 0.944], [0.371, 0.944, 0.657], [0.500, 0.000, 0.000], [0.560, 0.560, 0.560], [0.655, 0.165, 0.655], [0.655, 0.655, 0.165], [0.657, 0.371, 0.944], [0.657, 0.944, 0.371], [0.813, 0.320, 0.320], [0.944, 0.371, 0.657], [0.944, 0.657, 0.371], [0.757, 0.757, 0.757]],
  "magmom_total_mub_per_cell": 9.82,
  "raw_formation_energy_ev_per_atom": -0.0607,
  "space_group": "R3m"
}